Record 1
Entry from Alexandria: a geometry-optimized Sr2TlSn structure (PBE).

The structure in POSCAR format:
```
Sr2TlSn
1.0
3.959 0.000 0.000
1.980 3.429 0.000
1.980 1.143 11.844
Sr Tl Sn
2 1 1
Cartesian
1.980 1.143 8.504
5.939 3.429 3.340
3.959 2.286 5.922
0.000 0.000 0.000
```

Values from the calculation:
Space group   R-3m


Record 2
Entry from Alexandria: a geometry-optimized Sr2Tl3Sn3 structure (PBE).

The structure in POSCAR format:
```
Sr2Tl3Sn3
1.0
4.970 0.000 0.000
0.000 4.859 0.000
0.000 0.000 9.955
Tl Sr Sn
3 2 3
Cartesian
2.485 0.000 0.000
2.485 2.429 7.415
2.485 2.429 2.539
0.000 0.000 7.438
0.000 0.000 2.517
0.000 2.429 0.000
0.000 2.429 4.977
2.485 0.000 4.977
```

Values from the calculation:
Space group   Pmmm


Record 3
Entry from Alexandria: a geometry-optimized SrTl6Sn23 structure (PBE).

The structure in POSCAR format:
```
SrTl6Sn23
1.0
-6.791 -7.601 4.878
-2.745 -8.225 -5.655
4.026 -9.303 2.098
Sn Sr Tl
23 1 6
Cartesian
-1.216 -18.137 -1.459
-0.682 -3.088 0.167
-3.736 -16.783 0.931
0.641 -8.764 -1.779
1.369 -7.818 1.233
-4.828 -22.041 1.154
-1.774 -8.346 0.390
-2.077 -7.270 -2.712
-4.294 -6.992 2.780
2.013 -4.651 1.049
-3.114 -5.261 -0.308
-6.879 -17.310 0.088
0.000 0.000 0.000
-0.863 -5.620 2.270
-2.396 -19.867 1.629
-1.382 -8.452 3.488
-1.373 -4.112 -2.827
0.120 -11.865 -1.755
-3.396 -3.800 2.439
-4.647 -19.509 -0.949
-4.768 -7.913 -0.388
-3.433 -17.859 4.033
-5.630 -13.263 3.075
-2.755 -12.564 0.660
-5.778 -14.063 -0.157
-1.025 -14.944 -1.182
-4.485 -10.185 2.503
-2.918 -10.559 -2.169
0.268 -11.066 1.478
-2.592 -14.570 3.490
```

Values from the calculation:
Space group   C2/m


Record 4
Entry from Alexandria: a geometry-optimized Sr3TlSn structure (PBE).

The structure in POSCAR format:
```
Sr3TlSn
1.0
-4.480 3.874 2.294
-4.258 -4.697 -0.383
1.462 -1.808 5.910
Sn Sr Tl
1 3 1
Cartesian
0.000 0.000 0.000
-2.240 1.937 1.147
0.731 -0.904 2.955
-2.129 -2.348 -0.192
-3.638 -1.315 3.910
```

Values from the calculation:
Space group   Pm-3m


| no. | formation energy (eV per atom) | calculated total energy (eV/atom) |
| --- | --- | --- |
| 1 | -0.017 | -2.450 |
| 2 | -0.333 | -3.142 |
| 3 | 0.047 | -3.551 |
| 4 | -0.150 | -2.433 |